[1]
Entry from the Alexandria database: an optimized crystal structure of Ce2PmMgAs4 (PBE-GGA).

Lattice parameters (Å, degrees): 4.214 7.168 7.274 69.66 90.00 90.00
Last column: magnetic moment on the atom in μB.
Fractional coordinates of all 8 atoms:
Ce  0.000  0.000  0.000  0.46
Ce  0.500  0.000  0.500  0.46
Pm  0.500  0.500  0.000  0.01
Mg  0.000  0.500  0.500  0.00
As  0.000  0.753  0.747  -0.02
As  0.000  0.247  0.253  -0.02
As  0.500  0.748  0.256  -0.02
As  0.500  0.252  0.744  -0.02

## Properties
- final energy (eV/cell) = -46.25
- SG = No. 10
- formation enthalpy at 0 K (kJ/mol of atoms) = -113.8


[2]
Entry from the Alexandria database: an optimized crystal structure of CePm2MgAs4 (PBE-GGA).

Lattice parameters (Å, degrees): 4.210 7.262 7.162 70.26 90.00 90.00
Last column: magnetic moment on the atom in μB.
Fractional coordinates of all 8 atoms:
Ce  0.000  0.500  0.500  0.15
Pm  0.000  0.000  0.000  0.00
Pm  0.500  0.000  0.500  0.00
Mg  0.500  0.500  0.000  0.00
As  0.000  0.737  0.755  -0.01
As  0.000  0.263  0.245  -0.01
As  0.500  0.743  0.253  -0.01
As  0.500  0.257  0.747  -0.01

## Properties
- final energy (eV/cell) = -45.11
- SG = No. 10
- formation enthalpy at 0 K (kJ/mol of atoms) = -114.4


[3]
Entry from the Alexandria database: an optimized crystal structure of Ce2MgAs4Pt3 (PBE-GGA).

Lattice parameters (Å, degrees): 4.395 4.395 10.473 90.00 90.00 90.00
Last column: magnetic moment on the atom in μB.
Fractional coordinates of all 10 atoms:
Ce  0.500  0.000  0.238  0.82
Ce  0.000  0.500  0.762  0.82
Mg  0.500  0.500  0.500  0.00
As  0.500  0.500  0.000  0.01
As  0.000  0.000  0.000  0.01
As  0.500  0.000  0.642  -0.02
As  0.000  0.500  0.358  -0.02
Pt  0.000  0.000  0.500  -0.03
Pt  0.500  0.000  0.878  0.00
Pt  0.000  0.500  0.122  0.00

## Properties
- final energy (eV/cell) = -58.53
- SG = No. 115
- formation enthalpy at 0 K (kJ/mol of atoms) = -80.5


[4]
Entry from the Alexandria database: an optimized crystal structure of Ce2PuMgAs4 (PBE-GGA).

Lattice parameters (Å, degrees): 4.199 7.095 7.207 69.59 90.00 90.00
Last column: magnetic moment on the atom in μB.
Fractional coordinates of all 8 atoms:
Ce  0.000  0.000  0.000  0.46
Ce  0.500  0.000  0.500  0.44
Pu  0.000  0.500  0.500  5.07
Mg  0.500  0.500  0.000  0.00
As  0.000  0.745  0.754  -0.06
As  0.000  0.255  0.246  -0.06
As  0.500  0.747  0.252  -0.07
As  0.500  0.253  0.748  -0.07

## Properties
- final energy (eV/cell) = -54.83
- SG = No. 10
- formation enthalpy at 0 K (kJ/mol of atoms) = -101.8


[5]
Entry from the Alexandria database: an optimized crystal structure of Ce2MgAs3Rh4 (PBE-GGA).

Lattice parameters (Å, degrees): 4.038 4.038 11.226 90.00 90.00 90.00
Last column: magnetic moment on the atom in μB.
Fractional coordinates of all 10 atoms:
Ce  0.500  0.000  0.244  0.21
Ce  0.000  0.500  0.756  0.21
Mg  0.500  0.500  0.500  0.00
As  0.000  0.000  0.500  -0.01
As  0.500  0.000  0.870  0.00
As  0.000  0.500  0.130  0.00
Rh  0.500  0.500  0.000  0.01
Rh  0.000  0.000  0.000  0.01
Rh  0.500  0.000  0.655  -0.02
Rh  0.000  0.500  0.345  -0.02

## Properties
- final energy (eV/cell) = -65.84
- SG = No. 115
- formation enthalpy at 0 K (kJ/mol of atoms) = -87.1


[6]
Entry from the Alexandria database: an optimized crystal structure of CeMg2As2Rh7 (PBE-GGA).

Lattice parameters (Å, degrees): 4.028 4.028 13.095 78.26 78.26 89.01
Fractional coordinates of all 12 atoms:
Ce  0.000  0.000  0.000
Mg  0.793  0.793  0.328
Mg  0.207  0.207  0.672
As  0.685  0.685  0.719
As  0.315  0.315  0.281
Rh  0.500  0.500  0.000
Rh  0.318  0.318  0.463
Rh  0.682  0.682  0.537
Rh  0.888  0.389  0.169
Rh  0.389  0.888  0.169
Rh  0.611  0.112  0.831
Rh  0.112  0.611  0.831

## Properties
- final energy (eV/cell) = -75.29
- SG = No. 12
- formation enthalpy at 0 K (kJ/mol of atoms) = -43.5


[7]
Entry from the Alexandria database: an optimized crystal structure of Ce2MgScAs4 (PBE-GGA).

Lattice parameters (Å, degrees): 4.127 6.866 7.180 69.44 90.00 90.00
Last column: magnetic moment on the atom in μB.
Fractional coordinates of all 8 atoms:
Ce  0.000  0.000  0.000  0.53
Ce  0.500  0.000  0.500  0.36
Mg  0.500  0.500  0.000  0.00
Sc  0.000  0.500  0.500  0.02
As  0.000  0.736  0.751  -0.02
As  0.000  0.264  0.249  -0.02
As  0.500  0.735  0.260  -0.02
As  0.500  0.265  0.740  -0.02

## Properties
- final energy (eV/cell) = -47.60
- SG = No. 10
- formation enthalpy at 0 K (kJ/mol of atoms) = -111.0


[8]
Entry from the Alexandria database: an optimized crystal structure of Ce2SmMgAs4 (PBE-GGA).

Lattice parameters (Å, degrees): 4.208 7.147 7.268 69.66 90.00 90.00
Last column: magnetic moment on the atom in μB.
Fractional coordinates of all 8 atoms:
Ce  0.000  0.000  0.000  0.46
Ce  0.500  0.000  0.500  0.47
Sm  0.500  0.500  0.000  0.01
Mg  0.000  0.500  0.500  0.00
As  0.000  0.752  0.748  -0.02
As  0.000  0.248  0.252  -0.02
As  0.500  0.747  0.256  -0.02
As  0.500  0.253  0.744  -0.02

## Properties
- final energy (eV/cell) = -46.23
- SG = No. 10
- formation enthalpy at 0 K (kJ/mol of atoms) = -114.0


[9]
Entry from the Alexandria database: an optimized crystal structure of Sr3Ce2MgAs6 (PBE-GGA).

Lattice parameters (Å, degrees): 7.411 7.411 7.571 99.35 99.35 120.03
Fractional coordinates of all 12 atoms:
Sr  0.164  0.836  0.500
Sr  0.836  0.164  0.500
Sr  0.500  0.500  0.500
Ce  0.333  0.667  0.000
Ce  0.667  0.333  0.000
Mg  0.000  0.000  0.000
As  0.927  0.590  0.779
As  0.737  0.737  0.221
As  0.073  0.410  0.221
As  0.590  0.927  0.779
As  0.263  0.263  0.779
As  0.410  0.073  0.221

## Properties
- final energy (eV/cell) = -58.37
- SG = No. 12
- formation enthalpy at 0 K (kJ/mol of atoms) = -96.2


[10]
Entry from the Alexandria database: an optimized crystal structure of CeMn3As3 (PBE-GGA).

Lattice parameters (Å, degrees): 6.582 6.582 6.582 90.00 90.00 90.00
Last column: magnetic moment on the atom in μB.
Fractional coordinates of all 14 atoms:
As  0.000  0.250  0.500  -0.10
As  0.000  0.750  0.500  -0.10
As  0.500  0.000  0.750  -0.10
As  0.750  0.500  0.000  -0.10
As  0.500  0.000  0.250  -0.10
As  0.250  0.500  0.000  -0.10
Mn  0.250  0.000  0.500  2.34
Mn  0.000  0.500  0.250  2.34
Mn  0.500  0.750  0.000  2.34
Mn  0.750  0.000  0.500  2.34
Mn  0.000  0.500  0.750  2.34
Mn  0.500  0.250  0.000  2.34
Ce  0.500  0.500  0.500  1.10
Ce  0.000  0.000  0.000  1.10

## Properties
- final energy (eV/cell) = -95.94
- SG = No. 223
- formation enthalpy at 0 K (kJ/mol of atoms) = -7.9


[11]
Entry from the Alexandria database: an optimized crystal structure of CeMnAs (PBE-GGA).

Lattice parameters (Å, degrees): 4.107 7.198 12.640 143.70 147.23 46.53
Fractional coordinates of all 6 atoms:
As  0.594  0.298  0.961
As  0.786  0.353  0.472
Ce  0.702  0.767  0.438
Ce  0.677  0.884  0.995
Mn  0.698  0.212  0.566
Mn  0.681  0.438  0.867

## Properties
- final energy (eV/cell) = -43.45
- SG = No. 2
- formation enthalpy at 0 K (kJ/mol of atoms) = -63.4


[12]
Entry from the Alexandria database: an optimized crystal structure of Ce2MnAs (PBE-GGA).

Lattice parameters (Å, degrees): 3.081 3.081 9.888 81.04 81.04 60.00
Fractional coordinates of all 4 atoms:
As  0.500  0.500  0.500
Mn  0.000  0.000  0.000
Ce  0.078  0.078  0.765
Ce  0.922  0.922  0.235

## Properties
- final energy (eV/cell) = -25.29
- SG = No. 166
- formation enthalpy at 0 K (kJ/mol of atoms) = 9.7